The following is a DFT calculation (GGA-PBEsol) of crystalline Sr2ZnGa at its relaxed geometry.

a b c (Å): 5.4066 5.4066 5.4066
angles (deg): 60.00 60.00 60.00
Closest atoms and distances in Å follow each position.
Element x y z (fractional)
Sr 0.2500 0.2500 0.2500  4 Ga 3.31, 4 Zn 3.31
Zn 0.0000 0.0000 0.0000  8 Sr 3.31
Ga 0.5000 0.5000 0.5000  8 Sr 3.31
Sr 0.7500 0.7500 0.7500  4 Zn 3.31, 4 Ga 3.31

Fermi-level density of states, states/eV per atom: 0.827
Symmetry: No. 225
Formation energy, eV per atom: -0.26
E, eV/atom: -2.413